First-principles (PBE+U) data for an optimized crystal structure of Ba3SrMo4O16, as listed in the Alexandria database.

Unit cell a=5.6382 b=7.5498 c=10.9764 alpha=96.36 beta=104.86 gamma=111.91
Fractional coordinates of all 24 atoms:
Ba 0.0000 0.0000 0.0000
Ba 0.1247 0.8777 0.3772
Ba 0.6230 0.3760 0.8723
Sr 0.4989 0.5027 0.4987
Mo 0.2445 0.7464 0.7447
Mo 0.3779 0.6233 0.1295
Mo 0.7548 0.2573 0.2547
Mo 0.8701 0.1309 0.6203
O 0.0269 0.7423 0.5911
O 0.0463 0.6900 0.8517
O 0.0472 0.4856 0.3340
O 0.0681 0.1348 0.7789
O 0.0901 0.1914 0.5229
O 0.0964 0.3904 0.0495
O 0.2447 0.8032 0.1509
O 0.3895 0.5748 0.7181
O 0.5192 0.9835 0.8216
O 0.5387 0.2094 0.3546
O 0.5559 0.2595 0.0978
O 0.5762 0.6201 0.2866
O 0.5909 0.6797 0.0287
O 0.5983 0.8914 0.5431
O 0.7283 0.3067 0.6390
O 0.8719 0.0692 0.2288

Results
- calculated volume (Å³ per atom) = 17.0
- N(E_F) (states/eV/f.u.) = 0.0
- E_tot (eV for the cell shown) = -169.8